1.
Computed, not measured: a relaxed structure of Mg4AgHg7 at the PBE level of DFT.

Calculated values
ΔE_f ... -4.6 kJ per mole of atoms
Fermi-level density of states ... 4.21 states/eV/f.u.
Total magnetic moment ... 0.000 μB/f.u.
Theoretical density ... 9.2 Mg/m³
ΔE to the lowest computed polymorph ... 0.413 eV per formula unit

Cell lengths 6.850, 6.850, 10.053 Å; angles 118.86, 118.86, 46.05 degrees
Sites, in units of the cell vectors:
Mg 0.073 0.073 0.273
Mg 0.226 0.226 0.811
Mg 0.774 0.774 0.189
Mg 0.927 0.927 0.727
Ag 0.500 0.500 0.500
Hg 0.000 0.000 0.500
Hg 0.150 0.150 0.055
Hg 0.303 0.303 0.585
Hg 0.428 0.428 0.153
Hg 0.572 0.572 0.847
Hg 0.697 0.697 0.415
Hg 0.850 0.850 0.945


2.
Computed, not measured: a relaxed structure of Mg6AgHg12 at the PBE level of DFT.

Calculated values
ΔE_f ... -7.1 kJ per mole of atoms
Fermi-level density of states ... 5.55 states/eV/f.u.
Total magnetic moment ... 0.000 μB/f.u.
Theoretical density ... 10.2 Mg/m³
ΔE to the lowest computed polymorph ... 0.553 eV per formula unit

Cell lengths 8.175, 8.175, 8.175 Å; angles 108.75, 108.75, 108.75 degrees
Sites, in units of the cell vectors:
Mg 0.102 0.615 0.391
Mg 0.385 0.609 0.898
Mg 0.391 0.102 0.615
Mg 0.609 0.898 0.385
Mg 0.615 0.391 0.102
Mg 0.898 0.385 0.609
Ag 0.000 0.000 0.000
Hg 0.087 0.162 0.731
Hg 0.162 0.731 0.087
Hg 0.187 0.323 0.460
Hg 0.269 0.913 0.838
Hg 0.323 0.460 0.187
Hg 0.460 0.187 0.323
Hg 0.540 0.813 0.677
Hg 0.677 0.540 0.813
Hg 0.731 0.087 0.162
Hg 0.813 0.677 0.540
Hg 0.838 0.269 0.913
Hg 0.913 0.838 0.269


3.
Computed, not measured: a relaxed structure of Mg3Ag4Hg4 at the PBE level of DFT.

Calculated values
ΔE_f ... -11.2 kJ per mole of atoms
Fermi-level density of states ... 2.38 states/eV/f.u.
Total magnetic moment ... 0.000 μB/f.u.
Theoretical density ... 9.9 Mg/m³

Cell lengths 3.433, 3.740, 17.167 Å; angles 83.86, 84.46, 89.99 degrees
Sites, in units of the cell vectors:
Mg 0.000 0.000 0.000
Mg 0.365 0.364 0.273
Mg 0.635 0.636 0.727
Ag 0.094 0.093 0.813
Ag 0.272 0.272 0.457
Ag 0.728 0.728 0.543
Ag 0.906 0.907 0.187
Hg 0.181 0.182 0.635
Hg 0.452 0.453 0.094
Hg 0.548 0.547 0.906
Hg 0.819 0.818 0.365


4.
Computed, not measured: a relaxed structure of Mg2AgHg at the PBE level of DFT.

Calculated values
ΔE_f ... -11.4 kJ per mole of atoms
Fermi-level density of states ... 1.33 states/eV/f.u.
Total magnetic moment ... 0.000 μB/f.u.
Theoretical density ... 7.1 Mg/m³

Cell lengths 4.975, 4.975, 5.488 Å; angles 102.13, 102.13, 39.04 degrees
Sites, in units of the cell vectors:
Mg 0.246 0.246 0.245
Mg 0.754 0.754 0.755
Ag 0.500 0.500 0.000
Hg 0.000 0.000 0.500


5.
Computed, not measured: a relaxed structure of MgAg14Hg at the PBE level of DFT.

Calculated values
ΔE_f ... -1.2 kJ per mole of atoms
Fermi-level density of states ... 3.74 states/eV/f.u.
Total magnetic moment ... 0.000 μB/f.u.
Theoretical density ... 9.9 Mg/m³

Cell lengths 9.614, 5.909, 5.909 Å; angles 60.03, 90.00, 90.00 degrees
Sites, in units of the cell vectors:
Mg 0.000 0.000 0.000
Ag 0.000 0.000 0.500
Ag 0.000 0.500 0.000
Ag 0.251 0.833 0.833
Ag 0.253 0.331 0.836
Ag 0.253 0.332 0.332
Ag 0.253 0.836 0.331
Ag 0.500 0.166 0.166
Ag 0.500 0.166 0.667
Ag 0.500 0.666 0.666
Ag 0.500 0.667 0.166
Ag 0.747 0.331 0.836
Ag 0.747 0.332 0.332
Ag 0.747 0.836 0.331
Ag 0.749 0.833 0.833
Hg 0.000 0.500 0.500


6.
Computed, not measured: a relaxed structure of MgAgHg2 at the PBE level of DFT.

Calculated values
ΔE_f ... -8.9 kJ per mole of atoms
Fermi-level density of states ... 0.48 states/eV/f.u.
Total magnetic moment ... 0.000 μB/f.u.
Theoretical density ... 10.7 Mg/m³

Cell lengths 3.369, 3.747, 6.563 Å; angles 90.00, 90.00, 90.00 degrees
Sites, in units of the cell vectors:
Mg 0.000 0.000 0.000
Ag 0.000 0.000 0.500
Hg 0.500 0.500 0.250
Hg 0.500 0.500 0.750


7.
Computed, not measured: a relaxed structure of Mg2Ag2Hg3 at the PBE level of DFT.

Calculated values
ΔE_f ... -9.6 kJ per mole of atoms
Fermi-level density of states ... 2.43 states/eV/f.u.
Total magnetic moment ... 0.000 μB/f.u.
Theoretical density ... 9.9 Mg/m³
ΔE to the lowest computed polymorph ... 0.000 eV per formula unit

Cell lengths 5.406, 5.406, 7.537 Å; angles 94.41, 94.41, 41.34 degrees
Sites, in units of the cell vectors:
Mg 0.060 0.060 0.207
Mg 0.940 0.940 0.793
Ag 0.362 0.362 0.049
Ag 0.638 0.638 0.951
Hg 0.222 0.222 0.670
Hg 0.500 0.500 0.500
Hg 0.778 0.778 0.330


8.
Computed, not measured: a relaxed structure of Mg2AgHg at the PBE level of DFT.

Calculated values
ΔE_f ... -17.1 kJ per mole of atoms
Fermi-level density of states ... 0.70 states/eV/f.u.
Total magnetic moment ... 0.000 μB/f.u.
Theoretical density ... 7.4 Mg/m³

Cell lengths 5.459, 5.459, 4.928 Å; angles 104.27, 104.27, 34.57 degrees
Sites, in units of the cell vectors:
Mg 0.000 0.000 0.000
Mg 0.230 0.230 0.655
Ag 0.490 0.490 0.501
Hg 0.748 0.748 0.166


What is the ΔE_f in the fourth record?
-11.4 kJ per mole of atoms


What is the formula in the fifth record?
MgAg14Hg